Density functional theory data (PBE-GGA) for a relaxed structure of Ag7BrF4.

**E_tot**: -0.22670 Ry per atom
**Calculated volume**: 905.4 Å³ per cell
**Formation energy without anion corrections**: -0.658 eV/atom

abc: 7.1959 11.9191 10.5721
angles: 90.00 93.16 90.00
Space group C2/m (No. 12)
Symmetry-distinct sites (fractional):
1 Ag 0.0141 0.2384 0.1938 [8 per cell]
2 Ag 0.0370 0.5000 0.1898 [4 per cell]
3 Ag 0.1897 0.3705 0.9928 [8 per cell]
4 Ag 0.2077 0.1182 0.5044 [8 per cell]
5 Br 0.1959 0.0000 0.2934 [4 per cell]
6 F 0.0000 0.1155 0.0000 [4 per cell]
7 F 0.0000 0.2813 0.5000 [4 per cell]
8 F 0.2419 0.1437 0.7204 [8 per cell]

=====

Density functional theory data (PBE-GGA) for a relaxed structure of AgBr2F.

**Energy above the most stable polymorph in this dataset**: 0.0 meV/atom
**E_tot**: -0.18121 Ry per atom
**Calculated volume**: 220.4 Å³ per cell
**Formation energy without anion corrections**: -0.448 eV/atom

abc: 4.1040 4.1181 14.8850
angles: 88.70 84.56 61.67
Space group P-1 (No. 2)
Symmetry-distinct sites (fractional):
1 Ag 0.1917 0.1836 0.4088 [2 per cell]
2 Br 0.2102 0.2695 0.2378 [2 per cell]
3 Br 0.4948 0.0261 0.9138 [2 per cell]
4 F 0.1457 0.1732 0.5678 [2 per cell]

=====

Density functional theory data (PBE-GGA) for a relaxed structure of AgBrF.

**Energy above the most stable polymorph in this dataset**: 299.2 meV/atom
**E_tot**: -0.18477 Ry per atom
**Calculated volume**: 206.1 Å³ per cell
**Formation energy without anion corrections**: -0.382 eV/atom

abc: 5.0197 5.0197 9.4468
angles: 90.00 90.00 120.00
Space group P3_212 (No. 153)
Symmetry-distinct sites (fractional):
1 Ag 0.0742 0.5371 0.0000 [3 per cell]
2 Br 0.1759 0.3519 0.3333 [3 per cell]
3 F 0.5769 0.2885 0.0000 [3 per cell]

=====

Density functional theory data (PBE-GGA) for a relaxed structure of Ag4Br4F.

**E_tot**: -0.19496 Ry per atom
**Calculated volume**: 492.1 Å³ per cell
**Formation energy without anion corrections**: -0.434 eV/atom

abc: 6.4818 6.4818 11.7120
angles: 90.00 90.00 90.00
Space group I-42m (No. 121)
Symmetry-distinct sites (fractional):
1 Ag 0.2121 0.2121 0.1232 [8 per cell]
2 Br 0.0000 0.0000 0.2901 [4 per cell]
3 Br 0.0000 0.5000 0.0000 [4 per cell]
4 F 0.0000 0.0000 0.0000 [2 per cell]

=====

Density functional theory data (PBE-GGA) for a relaxed structure of Ag4Br2F3.

**E_tot**: -0.22103 Ry per atom
**Calculated volume**: 723.2 Å³ per cell
**Formation energy without anion corrections**: -0.745 eV/atom

abc: 11.5906 9.0798 6.9067
angles: 90.00 95.73 90.00
Space group C2/c (No. 15)
Symmetry-distinct sites (fractional):
1 Ag 0.1175 0.1239 0.0413 [8 per cell]
2 Ag 0.1220 0.3417 0.5307 [8 per cell]
3 Br 0.1880 0.3937 0.1757 [8 per cell]
4 F 0.0000 0.2800 0.7500 [4 per cell]
5 F 0.0900 0.1091 0.4178 [8 per cell]

=====

Density functional theory data (PBE-GGA) for a relaxed structure of Ag2BrF.

**Energy above the most stable polymorph in this dataset**: 118.9 meV/atom
**E_tot**: -0.20854 Ry per atom
**Calculated volume**: 344.2 Å³ per cell
**Formation energy without anion corrections**: -0.526 eV/atom

abc: 4.4649 4.4649 19.9347
angles: 90.00 90.00 120.00
Space group R-3m (No. 166, hexagonal axes)
Symmetry-distinct sites (fractional):
1 Ag 0.0000 0.0000 0.1083 [6 per cell]
2 Br 0.0000 0.0000 0.5000 [3 per cell]
3 F 0.0000 0.0000 0.0000 [3 per cell]

=====

Density functional theory data (PBE-GGA) for a relaxed structure of Ag6BrF8.

**E_tot**: -0.23648 Ry per atom
**Calculated volume**: 600.2 Å³ per cell
**Formation energy without anion corrections**: -0.967 eV/atom

abc: 7.2573 7.8587 10.5239
angles: 90.00 90.00 90.00
Space group Pmn2_1 (No. 31)
Symmetry-distinct sites (fractional):
1 Ag 0.0000 0.0004 0.0000 [2 per cell]
2 Ag 0.0000 0.1768 0.5617 [2 per cell]
3 Ag 0.0000 0.4062 0.8211 [2 per cell]
4 Ag 0.0000 0.6224 0.1982 [2 per cell]
5 Ag 0.1882 0.6732 0.5685 [4 per cell]
6 Br 0.0000 0.7285 0.7785 [2 per cell]
7 F 0.0000 0.1357 0.8079 [2 per cell]
8 F 0.0000 0.3244 0.0805 [2 per cell]
9 F 0.2018 0.6045 0.3599 [4 per cell]
10 F 0.2061 0.9950 0.5206 [4 per cell]
11 F 0.2270 0.3479 0.5929 [4 per cell]

=====

Density functional theory data (PBE-GGA) for a relaxed structure of Ag12Br5F3.

**E_tot**: -0.19717 Ry per atom
**Calculated volume**: 4246.6 Å³ per cell
**Formation energy without anion corrections**: -0.273 eV/atom

abc: 16.1938 16.1938 16.1938
angles: 90.00 90.00 90.00
Space group Ia-3d (No. 230)
Symmetry-distinct sites (fractional):
1 Ag 0.0188 0.0551 0.1617 [96 per cell]
2 Br 0.0000 0.0000 0.0000 [16 per cell]
3 Br 0.0000 0.2500 0.3750 [24 per cell]
4 F 0.0000 0.2500 0.1250 [24 per cell]